--- P ---
First-principles (GGA-PBE) data for a relaxed structure of Nb2Ge2Au, as listed in Alexandria.

Crystal system: tetragonal
Spin magnetization (μB/f.u.): 0.0
SG: P4/mbm (127)

Cell lengths 6.915, 6.915, 3.595 Å; angles 90.00, 90.00, 90.00 degrees
Sites, in units of the cell vectors:
Nb: 0.165 0.335 0.000
Nb: 0.335 0.835 0.000
Nb: 0.665 0.165 0.000
Nb: 0.835 0.665 0.000
Ge: 0.134 0.634 0.500
Ge: 0.366 0.134 0.500
Ge: 0.634 0.866 0.500
Ge: 0.866 0.366 0.500
Au: 0.000 0.000 0.500
Au: 0.500 0.500 0.500

--- Q ---
First-principles (GGA-PBE) data for a relaxed structure of Nb2Ge2Au, as listed in Alexandria.

Crystal system: tetragonal
Spin magnetization (μB/f.u.): 0.0
SG: P4/mbm (127)

Cell lengths 7.299, 7.299, 3.434 Å; angles 90.00, 90.00, 90.00 degrees
Sites, in units of the cell vectors:
Nb: 0.133 0.367 0.000
Nb: 0.367 0.867 0.000
Nb: 0.633 0.133 0.000
Nb: 0.867 0.633 0.000
Ge: 0.163 0.663 0.500
Ge: 0.337 0.163 0.500
Ge: 0.663 0.837 0.500
Ge: 0.837 0.337 0.500
Au: 0.000 0.000 0.000
Au: 0.500 0.500 0.000

Which is most stable? The ranking, best first, is P, Q.

--- P ---
First-principles (GGA-PBE) data for a relaxed structure of NdGe2Au4, as listed in Alexandria.

Crystal system: tetragonal
Spin magnetization (μB/f.u.): 0.0
SG: P4_2/mnm (136)

Cell lengths 8.144, 8.144, 4.263 Å; angles 90.00, 90.00, 90.00 degrees
Sites, in units of the cell vectors:
Nd: 0.000 0.000 0.000
Nd: 0.500 0.500 0.500
Ge: 0.225 0.225 0.500
Ge: 0.275 0.725 0.000
Ge: 0.725 0.275 0.000
Ge: 0.775 0.775 0.500
Au: 0.074 0.675 0.500
Au: 0.175 0.426 0.000
Au: 0.325 0.926 0.500
Au: 0.426 0.175 0.000
Au: 0.574 0.825 0.000
Au: 0.675 0.074 0.500
Au: 0.825 0.574 0.000
Au: 0.926 0.325 0.500

--- Q ---
First-principles (GGA-PBE) data for a relaxed structure of NdGe2Au4, as listed in Alexandria.

Crystal system: orthorhombic
Spin magnetization (μB/f.u.): 0.0
SG: Cmmm (65)

Cell lengths 4.518, 13.954, 4.506 Å; angles 90.00, 90.00, 90.00 degrees
Sites, in units of the cell vectors:
Nd: 0.000 0.000 0.000
Nd: 0.500 0.500 0.000
Ge: 0.000 0.411 0.500
Ge: 0.000 0.589 0.500
Ge: 0.500 0.089 0.500
Ge: 0.500 0.911 0.500
Au: 0.000 0.176 0.500
Au: 0.000 0.320 0.000
Au: 0.000 0.680 0.000
Au: 0.000 0.824 0.500
Au: 0.500 0.180 0.000
Au: 0.500 0.324 0.500
Au: 0.500 0.676 0.500
Au: 0.500 0.820 0.000

Which is most stable? The ranking, best first, is Q, P.

--- P ---
First-principles (GGA-PBE) data for a relaxed structure of NiGe3Au, as listed in Alexandria.

Crystal system: cubic
Spin magnetization (μB/f.u.): 0.0
SG: Pm-3m (221)

Cell lengths 4.964, 4.964, 4.964 Å; angles 90.00, 90.00, 90.00 degrees
Sites, in units of the cell vectors:
Ni: 0.000 0.000 0.000
Ge: 0.000 0.500 0.500
Ge: 0.500 0.000 0.500
Ge: 0.500 0.500 0.000
Au: 0.500 0.500 0.500

--- Q ---
First-principles (GGA-PBE) data for a relaxed structure of NiGe3Au, as listed in Alexandria.

Crystal system: cubic
Spin magnetization (μB/f.u.): 0.0
SG: Pm-3m (221)

Cell lengths 4.596, 4.596, 4.596 Å; angles 90.00, 90.00, 90.00 degrees
Sites, in units of the cell vectors:
Ni: 0.000 0.000 0.000
Ge: 0.000 0.000 0.500
Ge: 0.000 0.500 0.000
Ge: 0.500 0.000 0.000
Au: 0.500 0.500 0.500

Which is most stable? The ranking, best first, is Q, P.